## Ho3PaCo8 (PBE)

Data for a relaxed Ho3PaCo8 crystal.

Summary:
The density comes out at 11.06 g cm⁻³. For the total moment, the calculation gives 0.4610 μB per atom. The calculation puts the formation energy at -0.228 eV/atom.

Structure (extended XYZ):
```
12
Lattice="5.0226 0.0000 0.0000 2.5113 4.3497 0.0000 2.5113 1.4499 8.2262" Properties=species:S:1:pos:R:3 pbc="T T T"
Ho 5.0226 2.8998 7.2188
Ho 2.5113 1.4499 8.1912
Ho 5.0226 2.8998 4.1476
Pa 7.5339 4.3497 3.0554
Co 6.2713 2.1788 1.5656
Co 6.2851 5.0707 5.6373
Co 3.7739 2.1788 1.5656
Co 8.7826 5.0707 5.6373
Co 2.5113 1.4499 3.6011
Co 7.5339 4.3497 7.7038
Co 5.0226 4.3417 1.5656
Co 7.5339 2.9077 5.6373
```